# KV2F

A geometry-optimized KV2F structure (PBE with a Hubbard U, the Alexandria database).

Lattice parameters (Å, degrees): 7.0047 7.0047 7.0047 122.01 122.01 86.55
Element x y z (fractional)
K 0.3750 0.6250 0.7500
K 0.6250 0.3750 0.2500
V 0.0000 0.0000 0.0000
V 0.0000 0.0000 0.5000
V 0.0000 0.5000 0.0000
V 0.5000 0.0000 0.5000
F 0.1250 0.8750 0.2500
F 0.8750 0.1250 0.7500

Summary:
- size of the total moment (μB per formula unit) = 7.793
- polymorph energy (0 for the lowest one) (meV/atom) = 0.0
- energy (eV for the cell shown) = -34.3
- N(E_F) (states/eV/cell) = 2.5